# InHgBi2I (PBE-GGA, optimized geometry)
data_InHgBi2I
_chemical_formula_sum 'In1 Hg1 Bi2 I1'
_space_group_name_H-M_alt 'P 1'
_space_group_IT_number 1
_space_group_name_Hall 'P 1'
_cell_length_a 5.8691
_cell_length_b 5.8691
_cell_length_c 5.6572
_cell_angle_alpha 90.00
_cell_angle_beta 90.00
_cell_angle_gamma 90.00
loop_
_atom_site_label
_atom_site_fract_x
_atom_site_fract_y
_atom_site_fract_z
In1 0.0000 0.0000 0.0000
Hg1 0.0000 0.0000 0.5000
Bi1 0.0000 0.5000 0.0000
Bi2 0.5000 0.0000 0.0000
I1 0.5000 0.5000 0.5000
# Energy relative to the elements, uncorrected: 0.407 eV per atom
# ρ: 7.33 Mg/m³
# Fermi-level density of states: 1.158 states/eV/atom
# Electronic total energy: -0.0758 hartree per atom